Entry 1:
Entry from OQMD via LeMat-Bulk: a relaxed BaSrCdAsP crystal (GGA-PBE).

Calculated values
- excess energy over the best structure of this formula in the dataset (meV/atom) = 62

Cell: 4.483 16.878 7.973 Å, 90.00 90.00 90.00°
Space group Cmc2_1 (No. 36)
Asymmetric unit:
Ba1 0.000 0.043 0.000
Sr1 0.000 0.200 0.343
Cd1 0.000 0.401 0.140
As1 0.000 0.182 0.727
P1 0.000 0.438 0.804

Entry 2:
Entry from OQMD via LeMat-Bulk: a relaxed LiLuFeBi crystal (GGA-PBE).

Calculated values
- spin magnetization (μB/f.u.) = 1.7
- excess energy over the best structure of this formula in the dataset (meV/atom) = 231

Cell: 6.822 6.822 6.822 Å, 90.00 90.00 90.00°
Space group F-43m (No. 216)
Asymmetric unit:
Li1 0.000 0.000 0.000
Lu1 0.250 0.250 0.250
Fe1 0.250 0.250 0.750
Bi1 0.000 0.000 0.500

Entry 3:
Entry from OQMD via LeMat-Bulk: a relaxed KLuNO crystal (GGA-PBE).

Calculated values
- spin magnetization (μB/f.u.) = 0.0
- excess energy over the best structure of this formula in the dataset (meV/atom) = 308

Cell: 3.583 3.583 4.549 Å, 90.00 90.00 90.00°
Space group P4/mmm (No. 123)
Asymmetric unit:
K1 0.000 0.000 0.000
Lu1 0.500 0.500 0.500
N1 0.000 0.000 0.500
O1 0.500 0.500 0.000

Entry 4:
Entry from OQMD via LeMat-Bulk: a relaxed Rb2PdCl4 crystal (GGA-PBE).

Calculated values
- excess energy over the best structure of this formula in the dataset (meV/atom) = 14

Cell: 6.691 6.691 10.258 Å, 90.00 90.00 90.00°
Space group P4_2/mnm (No. 136)
Asymmetric unit:
Rb1 0.000 0.500 0.250
Pd1 0.000 0.000 0.000
Cl1 0.000 0.000 0.227
Cl2 0.245 0.245 0.000

Entry 5:
Entry from OQMD via LeMat-Bulk: a relaxed Lu4SiSN2 crystal (GGA-PBE).

Calculated values
- spin magnetization (μB/f.u.) = 0.0
- final energy (eV/atom) = -7.036

Cell: 3.4524 3.4524 13.0194 Å, 90.00 90.00 120.00°
Space group P-6m2 (No. 187)
Asymmetric unit:
Lu1 0.0000 0.0000 0.1407
Lu2 0.3333 0.6667 0.3379
Si1 0.0000 0.0000 0.5000
S1 0.3333 0.6667 0.0000
N1 0.6667 0.3333 0.2354

Entry 6:
Entry from OQMD via LeMat-Bulk: a relaxed SrCoAs2Ir crystal (GGA-PBE).

Calculated values
- spin magnetization (μB/f.u.) = 0.0
- final energy (eV/atom) = -5.983

Cell: 3.969 3.969 12.257 Å, 90.00 90.00 90.00°
Space group I-4m2 (No. 119)
Asymmetric unit:
Sr1 0.000 0.000 0.000
Co1 0.000 0.500 0.250
As1 0.000 0.000 0.363
Ir1 0.000 0.500 0.750

Entry 7:
Entry from OQMD via LeMat-Bulk: a relaxed ErSiNO crystal (GGA-PBE).

Calculated values
- spin magnetization (μB/f.u.) = 0.0
- excess energy over the best structure of this formula in the dataset (meV/atom) = 293

Cell: 4.511 4.511 4.889 Å, 90.00 90.00 90.00°
Space group P4/nmm (No. 129, origin choice 2)
Asymmetric unit:
Er1 0.250 0.750 0.000
Si1 0.250 0.250 0.499
N1 0.250 0.250 0.853
O1 0.250 0.750 0.500

Entry 8:
Entry from OQMD via LeMat-Bulk: a relaxed Sr3Ga4Ir4 crystal (GGA-PBE).

Calculated values
- spin magnetization (μB/f.u.) = 0.0
- final energy (eV/atom) = -5.333

Cell: 7.814 7.814 7.814 Å, 90.00 90.00 90.00°
Space group I-43m (No. 217)
Asymmetric unit:
Sr1 0.000 0.000 0.500
Ga1 0.193 0.193 0.193
Ir1 0.127 0.127 0.873

Entry 9:
Entry from OQMD via LeMat-Bulk: a relaxed BePtSeO crystal (GGA-PBE).

Calculated values
- spin magnetization (μB/f.u.) = 0.0
- excess energy over the best structure of this formula in the dataset (meV/atom) = 728

Cell: 3.915 3.915 7.130 Å, 90.00 90.00 90.00°
Space group P4/nmm (No. 129, origin choice 2)
Asymmetric unit:
Be1 0.250 0.750 0.000
Pt1 0.250 0.250 0.493
Se1 0.250 0.250 0.832
O1 0.250 0.250 0.226

Entry 10:
Entry from OQMD via LeMat-Bulk: a relaxed LiSmNp crystal (GGA-PBE).

Calculated values
- spin magnetization (μB/f.u.) = 6.1
- excess energy over the best structure of this formula in the dataset (meV/atom) = 0

Cell: 6.975 6.975 6.975 Å, 90.00 90.00 90.00°
Space group F-43m (No. 216)
Asymmetric unit:
Li1 0.000 0.000 0.000
Sm1 0.250 0.250 0.250
Np1 0.250 0.250 0.750

Entry 11:
Entry from OQMD via LeMat-Bulk: a relaxed AlCdCoTc crystal (GGA-PBE).

Calculated values
- spin magnetization (μB/f.u.) = 1.7
- excess energy over the best structure of this formula in the dataset (meV/atom) = 0

Cell: 6.186 6.186 6.186 Å, 90.00 90.00 90.00°
Space group F-43m (No. 216)
Asymmetric unit:
Al1 0.000 0.000 0.000
Cd1 0.000 0.000 0.500
Co1 0.250 0.250 0.250
Tc1 0.250 0.250 0.750

Entry 12:
Entry from OQMD via LeMat-Bulk: a relaxed TbGdSi crystal (GGA-PBE).

Calculated values
- spin magnetization (μB/f.u.) = 0.0
- excess energy over the best structure of this formula in the dataset (meV/atom) = 0

Cell: 6.900 6.900 6.900 Å, 90.00 90.00 90.00°
Space group F-43m (No. 216)
Asymmetric unit:
Tb1 0.000 0.000 0.000
Gd1 0.000 0.000 0.500
Si1 0.250 0.250 0.750

Entry 13:
Entry from OQMD via LeMat-Bulk: a relaxed Sr2Ir2O5 crystal (GGA-PBE).

Calculated values
- spin magnetization (μB/f.u.) = 1.3
- excess energy over the best structure of this formula in the dataset (meV/atom) = 639

Cell: 3.483 3.483 10.263 Å, 90.00 90.00 90.00°
Space group P4/mmm (No. 123)
Asymmetric unit:
Sr1 0.000 0.000 0.233
Ir1 0.500 0.500 0.000
Ir2 0.500 0.500 0.500
O1 0.000 0.000 0.000
O2 0.000 0.500 0.390